(1)
Density functional theory data (PBE-GGA) for a relaxed TlSbSF2 crystal.

```
TlSbSF2
1.0
4.5615 0.0000 0.0000
0.0000 4.5615 0.0000
0.0000 0.0000 5.3398
Tl Sb S F
1 1 1 2
direct
0.0000 0.0000 0.0000
0.5000 0.5000 0.5000
0.5000 0.5000 0.0000
0.0000 0.5000 0.5000
0.5000 0.0000 0.5000
```

Output
Its space group is No. 123. The value obtained for the formation energy without anion corrections is -6.7 eV/f.u.


(2)
Density functional theory data (PBE-GGA) for a relaxed TlSbSF2 crystal.

```
TlSbSF2
1.0
4.2483 0.0000 0.0000
0.0000 4.2483 0.0000
0.0000 0.0000 6.2917
Tl Sb S F
1 1 1 2
direct
0.0000 0.0000 0.0000
0.0000 0.0000 0.5000
0.5000 0.5000 0.0000
0.0000 0.5000 0.5000
0.5000 0.0000 0.5000
```

Output
Its space group is No. 123. The value obtained for the formation energy without anion corrections is -5.4 eV/f.u.


(3)
Density functional theory data (PBE-GGA) for a relaxed Sc3SF crystal.

```
Sc3SF
1.0
4.4017 0.0000 0.0000
0.0000 4.4017 0.0000
0.0000 0.0000 4.4017
Sc S F
3 1 1
direct
0.0000 0.0000 0.5000
0.0000 0.5000 0.0000
0.5000 0.0000 0.0000
0.5000 0.5000 0.5000
0.0000 0.0000 0.0000
```

Output
Its space group is No. 221. The value obtained for the formation energy without anion corrections is -4.2 eV/f.u.


(4)
Density functional theory data (PBE-GGA) for a relaxed ScSF crystal.

```
ScSF
1.0
6.3711 0.0000 0.0000
0.0000 6.8961 0.0000
-2.1172 0.0000 5.7267
Sc S F
4 4 4
direct
0.0297 0.1281 0.2659
0.0297 0.3719 0.7659
0.9703 0.6281 0.2341
0.9703 0.8719 0.7341
0.2601 0.0973 0.6778
0.2601 0.4027 0.1778
0.7399 0.5973 0.8222
0.7399 0.9027 0.3222
0.1311 0.6300 0.6347
0.1311 0.8700 0.1347
0.8689 0.1300 0.8653
0.8689 0.3700 0.3653
```

Output
Its space group is No. 14. The value obtained for the formation energy without anion corrections is -8.0 eV/f.u.


- What is the formation energy without anion corrections in the fourth record?
  -8.0 eV/f.u.